1.
Crystalline TmScHgC at its relaxed geometry, computed with GGA-PBE.

Output
* SG: P-3m1, No. 164
* distance to the lowest polymorph of the same formula: 3 meV/atom

Structure (CIF):
```
data_TmScHgC
_space_group_name_H-M_alt 'P 1'
_space_group_IT_number 1
_space_group_name_Hall 'P 1'
_cell_length_a 3.449
_cell_length_b 3.449
_cell_length_c 15.318
_cell_angle_alpha 90.00
_cell_angle_beta 90.00
_cell_angle_gamma 120.00
loop_
_atom_site_label
_atom_site_fract_x
_atom_site_fract_y
_atom_site_fract_z
Tm1 0.333 0.667 0.088
Tm2 0.667 0.333 0.912
Sc1 0.333 0.667 0.422
Sc2 0.667 0.333 0.578
Hg1 0.333 0.667 0.740
Hg2 0.667 0.333 0.260
C1 0.000 0.000 0.000
C2 0.000 0.000 0.500
```

***

2.
Crystalline DyYZn3Ni2 at its relaxed geometry, computed with GGA-PBE.

Output
* SG: Amm2, No. 38
* E: -28.19 eV per cell

Structure (CIF):
```
data_DyYZn3Ni2
_space_group_name_H-M_alt 'P 1'
_space_group_IT_number 1
_space_group_name_Hall 'P 1'
_cell_length_a 3.564
_cell_length_b 9.689
_cell_length_c 9.689
_cell_angle_alpha 22.88
_cell_angle_beta 90.00
_cell_angle_gamma 90.00
loop_
_atom_site_label
_atom_site_fract_x
_atom_site_fract_y
_atom_site_fract_z
Dy1 0.000 0.000 0.000
Y1 0.000 0.671 0.671
Zn1 0.000 0.835 0.835
Zn2 0.500 0.264 0.264
Zn3 0.500 0.406 0.406
Ni1 0.500 0.125 0.125
Ni2 0.500 0.544 0.544
```

***

3.
Crystalline PmCuBi at its relaxed geometry, computed with GGA-PBE.

Output
* SG: F-43m, No. 216
* distance to the lowest polymorph of the same formula: 395 meV/atom

Structure (CIF):
```
data_PmCuBi
_space_group_name_H-M_alt 'P 1'
_space_group_IT_number 1
_space_group_name_Hall 'P 1'
_cell_length_a 5.010
_cell_length_b 5.010
_cell_length_c 5.010
_cell_angle_alpha 60.00
_cell_angle_beta 60.00
_cell_angle_gamma 60.00
loop_
_atom_site_label
_atom_site_fract_x
_atom_site_fract_y
_atom_site_fract_z
Pm1 0.000 0.000 0.000
Cu1 0.250 0.250 0.250
Bi1 0.750 0.750 0.750
```

***

4.
Crystalline K2CoMoN4 at its relaxed geometry, computed with GGA-PBE.

Output
* SG: I-4, No. 82
* E: -54.14 eV per cell

Structure (CIF):
```
data_K2CoMoN4
_space_group_name_H-M_alt 'P 1'
_space_group_IT_number 1
_space_group_name_Hall 'P 1'
_cell_length_a 5.704
_cell_length_b 5.704
_cell_length_c 5.704
_cell_angle_alpha 120.48
_cell_angle_beta 120.48
_cell_angle_gamma 89.18
loop_
_atom_site_label
_atom_site_fract_x
_atom_site_fract_y
_atom_site_fract_z
K1 0.000 0.000 0.000
K2 0.750 0.250 0.500
Co1 0.500 0.500 0.000
Mo1 0.250 0.750 0.500
N1 0.282 0.622 0.147
N2 0.378 0.524 0.660
N3 0.476 0.136 0.853
N4 0.864 0.718 0.340
```

***

5.
Crystalline BeGaCoW at its relaxed geometry, computed with GGA-PBE.

Output
* SG: F-43m, No. 216
* distance to the lowest polymorph of the same formula: 96 meV/atom

Structure (CIF):
```
data_BeGaCoW
_space_group_name_H-M_alt 'P 1'
_space_group_IT_number 1
_space_group_name_Hall 'P 1'
_cell_length_a 4.135
_cell_length_b 4.135
_cell_length_c 4.135
_cell_angle_alpha 60.00
_cell_angle_beta 60.00
_cell_angle_gamma 60.00
loop_
_atom_site_label
_atom_site_fract_x
_atom_site_fract_y
_atom_site_fract_z
Be1 0.000 0.000 0.000
Ga1 0.500 0.500 0.500
Co1 0.750 0.750 0.750
W1 0.250 0.250 0.250
```

***

6.
Crystalline RbPmNO at its relaxed geometry, computed with GGA-PBE.

Output
* SG: P4/nmm, No. 129
* distance to the lowest polymorph of the same formula: 435 meV/atom

Structure (CIF):
```
data_RbPmNO
_space_group_name_H-M_alt 'P 1'
_space_group_IT_number 1
_space_group_name_Hall 'P 1'
_cell_length_a 4.109
_cell_length_b 4.109
_cell_length_c 9.034
_cell_angle_alpha 90.00
_cell_angle_beta 90.00
_cell_angle_gamma 90.00
loop_
_atom_site_label
_atom_site_fract_x
_atom_site_fract_y
_atom_site_fract_z
Rb1 0.250 0.750 0.000
Rb2 0.750 0.250 0.000
Pm1 0.250 0.250 0.378
Pm2 0.750 0.750 0.622
N1 0.250 0.250 0.786
N2 0.750 0.750 0.214
O1 0.250 0.750 0.500
O2 0.750 0.250 0.500
```

***

7.
Crystalline Ta2P at its relaxed geometry, computed with GGA-PBE.

Output
* SG: Fd-3m, No. 227
* E: -41.71 eV per cell

Structure (CIF):
```
data_Ta2P
_space_group_name_H-M_alt 'P 1'
_space_group_IT_number 1
_space_group_name_Hall 'P 1'
_cell_length_a 7.528
_cell_length_b 7.528
_cell_length_c 7.528
_cell_angle_alpha 60.00
_cell_angle_beta 60.00
_cell_angle_gamma 60.00
loop_
_atom_site_label
_atom_site_fract_x
_atom_site_fract_y
_atom_site_fract_z
Ta1 0.000 0.000 0.000
Ta2 0.000 0.000 0.500
Ta3 0.000 0.500 0.000
Ta4 0.500 0.000 0.000
P1 0.125 0.125 0.125
P2 0.875 0.875 0.875
```

***

8.
Crystalline NaTa2Tl at its relaxed geometry, computed with GGA-PBE.

Output
* SG: F-43m, No. 216
* E: -23.87 eV per cell

Structure (CIF):
```
data_NaTa2Tl
_space_group_name_H-M_alt 'P 1'
_space_group_IT_number 1
_space_group_name_Hall 'P 1'
_cell_length_a 4.855
_cell_length_b 4.855
_cell_length_c 4.855
_cell_angle_alpha 60.00
_cell_angle_beta 60.00
_cell_angle_gamma 60.00
loop_
_atom_site_label
_atom_site_fract_x
_atom_site_fract_y
_atom_site_fract_z
Na1 0.000 0.000 0.000
Ta1 0.250 0.250 0.250
Ta2 0.500 0.500 0.500
Tl1 0.750 0.750 0.750
```